No. 1
First-principles (GGA-PBE) data for an optimized crystal structure of Ba2Cu2SnS6, as listed in Alexandria.

As for the crystal system: trigonal. The formation energy from raw total energies is -0.830 eV/atom.

It has space group R-3m (No. 166, hexagonal axes), with a = 7.0129 Å, b = 7.0129 Å, c = 19.7276 Å, α = 90.00°, β = 90.00° and γ = 120.00°. The inequivalent atoms are Ba at (0.0000, 0.0000, 0.2247), Cu at (0.0000, 0.0000, 0.4123), Sn at (0.0000, 0.0000, 0.0000) and S at (0.0227, 0.5114, 0.7549).



No. 2
First-principles (GGA-PBE) data for an optimized crystal structure of Nd2ZnCl, as listed in Alexandria.

As for the crystal system: trigonal. The formation energy from raw total energies is -0.812 eV/atom. The calculation puts the excess energy over the best structure of this formula in the dataset at 19 meV per atom.

It has space group R3m (No. 160, hexagonal axes), with a = 3.7488 Å, b = 3.7488 Å, c = 25.9666 Å, α = 90.00°, β = 90.00° and γ = 120.00°. The inequivalent atoms are Nd at (0.0000, 0.0000, 0.0000), Nd at (0.0000, 0.0000, 0.1689), Zn at (0.0000, 0.0000, 0.5847) and Cl at (0.0000, 0.0000, 0.4172).



No. 3
First-principles (GGA-PBE) data for an optimized crystal structure of Rb2TcIr, as listed in Alexandria.

As for the crystal system: cubic. The formation energy from the elements is 2.0322 eV/atom. The calculation puts the excess energy over the best structure of this formula in the dataset at 844 meV per atom.

It has space group Fm-3m (No. 225), with a = 7.818 Å, b = 7.818 Å, c = 7.818 Å, α = 90.00°, β = 90.00° and γ = 90.00°. The inequivalent atoms are Rb at (0.250, 0.250, 0.250), Tc at (0.000, 0.000, 0.000) and Ir at (0.000, 0.000, 0.500).



No. 4
First-principles (GGA-PBE) data for an optimized crystal structure of YMnBe2, as listed in Alexandria.

As for the crystal system: orthorhombic. The formation energy from the elements is 0.2624 eV/atom. The calculation puts the excess energy over the best structure of this formula in the dataset at 236 meV per atom.

It has space group Imm2 (No. 44), with a = 3.252 Å, b = 3.342 Å, c = 10.837 Å, α = 90.00°, β = 90.00° and γ = 90.00°. The inequivalent atoms are Y at (0.000, 0.000, 0.000), Mn at (0.000, 0.500, 0.283), Be at (0.000, 0.000, 0.651) and Be at (0.000, 0.500, 0.767).



No. 5
First-principles (GGA-PBE) data for an optimized crystal structure of NaZrAs2Se, as listed in Alexandria.

As for the crystal system: tetragonal. The formation energy from raw total energies is 0.693 eV/atom. The calculation puts the excess energy over the best structure of this formula in the dataset at 1035 meV per atom.

It has space group P4/mmm (No. 123), with a = 4.823 Å, b = 4.823 Å, c = 5.023 Å, α = 90.00°, β = 90.00° and γ = 90.00°. The inequivalent atoms are Na at (0.000, 0.000, 0.000), Zr at (0.500, 0.500, 0.500), As at (0.000, 0.500, 0.000) and Se at (0.000, 0.000, 0.500).



No. 6
First-principles (GGA-PBE) data for an optimized crystal structure of BaLiMg2, as listed in Alexandria.

As for the crystal system: orthorhombic. The formation energy from the elements is 0.0202 eV/atom. The calculation puts the excess energy over the best structure of this formula in the dataset at 65 meV per atom.

It has space group Imm2 (No. 44), with a = 5.532 Å, b = 5.751 Å, c = 7.790 Å, α = 90.00°, β = 90.00° and γ = 90.00°. The inequivalent atoms are Ba at (0.000, 0.000, 0.000), Li at (0.000, 0.500, 0.764), Mg at (0.000, 0.000, 0.497) and Mg at (0.000, 0.500, 0.236).



No. 7
First-principles (GGA-PBE) data for an optimized crystal structure of Ca2PuB2Rh5, as listed in Alexandria.

As for the crystal system: tetragonal. The formation energy from the elements is -0.4844 eV/atom.

It has space group P4/mbm (No. 127), with a = 10.139 Å, b = 10.139 Å, c = 3.054 Å, α = 90.00°, β = 90.00° and γ = 90.00°. The inequivalent atoms are Ca at (0.177, 0.323, 0.000), Pu at (0.000, 0.000, 0.000), B at (0.118, 0.618, 0.000), Rh at (0.000, 0.500, 0.500) and Rh at (0.070, 0.767, 0.500).



No. 8
First-principles (GGA-PBE) data for an optimized crystal structure of ReBiTe2Br, as listed in Alexandria.

As for the crystal system: tetragonal. The formation energy from raw total energies is 1.812 eV/atom.

It has space group P4/mmm (No. 123), with a = 5.560 Å, b = 5.560 Å, c = 5.614 Å, α = 90.00°, β = 90.00° and γ = 90.00°. The inequivalent atoms are Re at (0.000, 0.000, 0.000), Bi at (0.500, 0.500, 0.000), Te at (0.000, 0.500, 0.500) and Br at (0.500, 0.500, 0.500).



No. 9
First-principles (GGA-PBE) data for an optimized crystal structure of BaGa2Ru2C, as listed in Alexandria.

As for the crystal system: tetragonal. The formation energy from the elements is -0.2339 eV/atom.

It has space group P4/mmm (No. 123), with a = 4.149 Å, b = 4.149 Å, c = 6.177 Å, α = 90.00°, β = 90.00° and γ = 90.00°. The inequivalent atoms are Ba at (0.000, 0.000, 0.000), Ga at (0.500, 0.500, 0.244), Ru at (0.000, 0.500, 0.500) and C at (0.000, 0.000, 0.500).



No. 10
First-principles (GGA-PBE) data for an optimized crystal structure of TaWCl2, as listed in Alexandria.

As for the crystal system: tetragonal. The formation energy from raw total energies is 0.948 eV/atom. The calculation puts the excess energy over the best structure of this formula in the dataset at 1365 meV per atom.

It has space group I-4m2 (No. 119), with a = 4.139 Å, b = 4.139 Å, c = 8.060 Å, α = 90.00°, β = 90.00° and γ = 90.00°. The inequivalent atoms are Ta at (0.000, 0.000, 0.000), W at (0.000, 0.500, 0.750), Cl at (0.000, 0.000, 0.500) and Cl at (0.000, 0.500, 0.250).



No. 11
First-principles (GGA-PBE) data for an optimized crystal structure of LaZn3Sn3, as listed in Alexandria.

As for the crystal system: cubic. The formation energy from the elements is 0.0836 eV/atom.

It has space group Pm-3n (No. 223), with a = 7.325 Å, b = 7.325 Å, c = 7.325 Å, α = 90.00°, β = 90.00° and γ = 90.00°. The inequivalent atoms are La at (0.000, 0.000, 0.000), Zn at (0.000, 0.250, 0.500) and Sn at (0.000, 0.500, 0.250).



No. 12
First-principles (GGA-PBE) data for an optimized crystal structure of CrCuAu3, as listed in Alexandria.

As for the crystal system: cubic. The formation energy from the elements is 0.6750 eV/atom. The calculation puts the excess energy over the best structure of this formula in the dataset at 0 meV per atom.

It has space group Pm-3m (No. 221), with a = 4.761 Å, b = 4.761 Å, c = 4.761 Å, α = 90.00°, β = 90.00° and γ = 90.00°. The inequivalent atoms are Cr at (0.000, 0.000, 0.000), Cu at (0.500, 0.500, 0.500) and Au at (0.000, 0.500, 0.500).



Repeat the sixth record exactly.
First-principles (GGA-PBE) data for an optimized crystal structure of BaLiMg2, as listed in Alexandria.

As for the crystal system: orthorhombic. The formation energy from the elements is 0.0202 eV/atom. The calculation puts the excess energy over the best structure of this formula in the dataset at 65 meV per atom.

It has space group Imm2 (No. 44), with a = 5.532 Å, b = 5.751 Å, c = 7.790 Å, α = 90.00°, β = 90.00° and γ = 90.00°. The inequivalent atoms are Ba at (0.000, 0.000, 0.000), Li at (0.000, 0.500, 0.764), Mg at (0.000, 0.000, 0.497) and Mg at (0.000, 0.500, 0.236).